[1]
A relaxed InPd7 crystal, computed with PBE-GGA.

Summary:
formation energy = -0.2224 eV per atom
symmetry = I4/mmm
calculated volume = 15.9 Å³/atom
E_tot = -5.108 eV per atom

Cell: 8.4874 8.4874 8.4874 Å, 152.83 152.83 38.80°
Last column: nearest neighbours and their distance in Å.
Sites, in units of the cell vectors:
1 In 0.0000 0.0000 0.0000  12 Pd 2.82-2.84
2 Pd 0.1264 0.6264 0.5000  10 Pd 2.80-2.84, 2 In 2.84
3 Pd 0.2505 0.2505 0.0000  12 Pd 2.80-2.82
4 Pd 0.3736 0.8736 0.5000  10 Pd 2.80-2.84, 2 In 2.84
5 Pd 0.5000 0.5000 0.0000  4 In 2.82, 8 Pd 2.84
6 Pd 0.6264 0.1264 0.5000  10 Pd 2.80-2.84, 2 In 2.84
7 Pd 0.7495 0.7495 0.0000  12 Pd 2.80-2.82
8 Pd 0.8736 0.3736 0.5000  10 Pd 2.80-2.84, 2 In 2.84

---

[2]
A relaxed In2Pd3 crystal, computed with PBE-GGA.

Summary:
formation energy = -0.3538 eV per atom
symmetry = Ibam
calculated volume = 19.1 Å³/atom
E_tot = -4.565 eV per atom

Cell: 6.9124 6.9124 6.9124 Å, 122.32 75.66 135.48°
Last column: nearest neighbours and their distance in Å.
Sites, in units of the cell vectors:
1 In 0.1661 0.2444 0.4105  7 Pd 2.74-2.88
2 In 0.3339 0.7444 0.0783  7 Pd 2.74-2.88
3 In 0.6661 0.2556 0.9217  7 Pd 2.74-2.88
4 In 0.8339 0.7556 0.5895  7 Pd 2.74-2.88
5 Pd 0.0914 0.8503 0.9417  5 In 2.74-2.88, 3 Pd 2.82-2.86
6 Pd 0.2500 0.7500 0.5000  6 Pd 2.62-2.86, 4 In 2.81
7 Pd 0.4086 0.3503 0.7589  5 In 2.74-2.88, 3 Pd 2.82-2.86
8 Pd 0.5914 0.6497 0.2411  5 In 2.74-2.88, 3 Pd 2.82-2.86
9 Pd 0.7500 0.2500 0.5000  6 Pd 2.62-2.86, 4 In 2.81
10 Pd 0.9086 0.1497 0.0583  5 In 2.74-2.88, 3 Pd 2.82-2.86

---

[3]
A relaxed In2Pd crystal, computed with PBE-GGA.

Summary:
formation energy = -0.2579 eV per atom
symmetry = Fmmm
calculated volume = 20.3 Å³/atom
E_tot = -3.814 eV per atom

Cell: 5.2038 5.2003 3.6767 Å, 69.36 69.25 41.39°
Last column: nearest neighbours and their distance in Å.
Sites, in units of the cell vectors:
1 In 0.1596 0.1596 0.8404  5 In 2.88-3.07, 5 Pd 2.97-3.07
2 In 0.8404 0.8404 0.1596  5 In 2.88-3.07, 5 Pd 2.97-3.07
3 Pd 0.5000 0.5000 0.5000  10 In 2.97-3.07

---

[4]
A relaxed InPd3 crystal, computed with PBE-GGA.

Summary:
formation energy = -0.4291 eV per atom
symmetry = Pm-3m
calculated volume = 16.5 Å³/atom
E_tot = -5.008 eV per atom

Cell: 4.0381 4.0381 4.0381 Å, 90.00 90.00 90.00°
Last column: nearest neighbours and their distance in Å.
Sites, in units of the cell vectors:
1 In 0.0000 0.0000 0.0000  12 Pd 2.86
2 Pd 0.0000 0.5000 0.5000  8 Pd 2.86, 4 In 2.86
3 Pd 0.5000 0.0000 0.5000  8 Pd 2.86, 4 In 2.86
4 Pd 0.5000 0.5000 0.0000  8 Pd 2.86, 4 In 2.86

---

[5]
A relaxed In7Pd3 crystal, computed with PBE-GGA.

Summary:
formation energy = -0.3743 eV per atom
symmetry = Im-3m
calculated volume = 22.1 Å³/atom
E_tot = -3.849 eV per atom

Cell: 8.3123 8.3123 8.3123 Å, 109.47 109.47 109.47°
Last column: nearest neighbours and their distance in Å.
Sites, in units of the cell vectors:
1 In 0.0000 0.0000 0.3241  3 Pd 2.83, 4 In 2.92-3.11
2 In 0.0000 0.0000 0.6759  3 Pd 2.83, 4 In 2.92-3.11
3 In 0.0000 0.3241 0.0000  3 Pd 2.83, 4 In 2.92-3.11
4 In 0.0000 0.6759 0.0000  3 Pd 2.83, 4 In 2.92-3.11
5 In 0.2500 0.5000 0.7500  4 Pd 2.81
6 In 0.2500 0.7500 0.5000  4 Pd 2.81
7 In 0.3241 0.0000 0.0000  3 Pd 2.83, 4 In 2.92-3.11
8 In 0.3241 0.3241 0.3241  3 Pd 2.83, 4 In 2.92-3.11
9 In 0.5000 0.2500 0.7500  4 Pd 2.81
10 In 0.5000 0.7500 0.2500  4 Pd 2.81
11 In 0.6759 0.0000 0.0000  3 Pd 2.83, 4 In 2.92-3.11
12 In 0.6759 0.6759 0.6759  3 Pd 2.83, 4 In 2.92-3.11
13 In 0.7500 0.2500 0.5000  4 Pd 2.81
14 In 0.7500 0.5000 0.2500  4 Pd 2.81
15 Pd 0.0000 0.3478 0.3478  8 In 2.81-2.83, 1 Pd 2.92
16 Pd 0.0000 0.6522 0.6522  8 In 2.81-2.83, 1 Pd 2.92
17 Pd 0.3478 0.0000 0.3478  8 In 2.81-2.83, 1 Pd 2.92
18 Pd 0.3478 0.3478 0.0000  8 In 2.81-2.83, 1 Pd 2.92
19 Pd 0.6522 0.0000 0.6522  8 In 2.81-2.83, 1 Pd 2.92
20 Pd 0.6522 0.6522 0.0000  8 In 2.81-2.83, 1 Pd 2.92

---

[6]
A relaxed In6Pd5 crystal, computed with PBE-GGA.

Summary:
formation energy = -0.4663 eV per atom
symmetry = Immm
calculated volume = 19.1 Å³/atom
E_tot = -4.320 eV per atom

Cell: 7.9700 7.9700 7.9700 Å, 146.25 130.92 60.89°
Last column: nearest neighbours and their distance in Å.
Sites, in units of the cell vectors:
1 In 0.0829 0.3383 0.7446  7 Pd 2.79-2.87
2 In 0.2381 0.0000 0.2381  6 Pd 2.81-2.89
3 In 0.4063 0.6617 0.7446  7 Pd 2.79-2.87
4 In 0.5937 0.3383 0.2554  7 Pd 2.79-2.87
5 In 0.7619 0.0000 0.7619  6 Pd 2.81-2.89
6 In 0.9171 0.6617 0.2554  7 Pd 2.79-2.87
7 Pd 0.1696 0.1696 0.0000  8 In 2.81-2.87
8 Pd 0.3317 0.8317 0.5000  8 In 2.84-2.89
9 Pd 0.5000 0.5000 0.0000  8 In 2.79-2.89
10 Pd 0.6683 0.1683 0.5000  8 In 2.84-2.89
11 Pd 0.8304 0.8304 0.0000  8 In 2.81-2.87

---

[7]
A relaxed InPd3 crystal, computed with PBE-GGA.

Summary:
formation energy = -0.1445 eV per atom
symmetry = C2/m
calculated volume = 17.0 Å³/atom
E_tot = -4.724 eV per atom

Cell: 2.9992 2.9992 8.8936 Å, 99.65 99.65 59.79°
Last column: nearest neighbours and their distance in Å.
Sites, in units of the cell vectors:
1 In 0.0000 0.0000 0.0000  6 Pd 2.76, 6 In 2.99-3.00
2 Pd 0.2510 0.2510 0.7541  3 In 2.76, 9 Pd 2.81-3.00
3 Pd 0.5000 0.5000 0.5000  12 Pd 2.81-3.00
4 Pd 0.7490 0.7490 0.2459  3 In 2.76, 9 Pd 2.81-3.00

---

[8]
A relaxed In5Pd crystal, computed with PBE-GGA.

Summary:
formation energy = -0.1645 eV per atom
symmetry = Pmma
calculated volume = 24.3 Å³/atom
E_tot = -3.312 eV per atom

Cell: 9.0258 4.3342 7.4390 Å, 90.00 90.00 90.00°
Last column: nearest neighbours and their distance in Å.
Sites, in units of the cell vectors:
1 In 0.0000 0.0000 0.0000  2 Pd 2.72
2 In 0.0614 0.5000 0.3139  2 Pd 2.87, 1 In 2.98
3 In 0.2500 0.0000 0.5816  1 Pd 2.81
4 In 0.2500 0.5000 0.9026  2 Pd 3.12, 8 In 3.21-3.24
5 In 0.4386 0.5000 0.3139  2 Pd 2.87, 1 In 2.98
6 In 0.5000 0.0000 0.0000  2 Pd 2.72
7 In 0.5614 0.5000 0.6861  2 Pd 2.87, 1 In 2.98
8 In 0.7500 0.0000 0.4184  1 Pd 2.81
9 In 0.7500 0.5000 0.0974  2 Pd 3.12, 8 In 3.21-3.24
10 In 0.9386 0.5000 0.6861  2 Pd 2.87, 1 In 2.98
11 Pd 0.2500 0.0000 0.2039  7 In 2.72-2.87
12 Pd 0.7500 0.0000 0.7961  7 In 2.72-2.87

---

[9]
A relaxed In2Pd crystal, computed with PBE-GGA.

Summary:
formation energy = -0.3840 eV per atom
symmetry = Cmce
calculated volume = 21.9 Å³/atom
E_tot = -3.941 eV per atom

Cell: 7.1851 7.1851 6.4240 Å, 90.00 90.00 52.31°
Last column: nearest neighbours and their distance in Å.
Sites, in units of the cell vectors:
1 In 0.9996 0.5004 0.2500  4 Pd 2.82
2 In 0.0004 0.4996 0.7500  4 Pd 2.82
3 In 0.1764 0.8236 0.8221  4 Pd 2.81
4 In 0.3236 0.6764 0.3221  4 Pd 2.81
5 In 0.4996 0.0004 0.2500  4 Pd 2.82
6 In 0.5004 0.9996 0.7500  4 Pd 2.82
7 In 0.6764 0.3236 0.6779  4 Pd 2.81
8 In 0.8236 0.1764 0.1779  4 Pd 2.81
9 Pd 0.1192 0.1192 0.5000  8 In 2.81-2.82, 1 Pd 3.07
10 Pd 0.3808 0.3808 0.0000  8 In 2.81-2.82, 1 Pd 3.07
11 Pd 0.6192 0.6192 0.0000  8 In 2.81-2.82, 1 Pd 3.07
12 Pd 0.8808 0.8808 0.5000  8 In 2.81-2.82, 1 Pd 3.07

---

[10]
A relaxed PmIn5Pd6 crystal, computed with PBE-GGA.

Summary:
formation energy = -0.5688 eV per atom
symmetry = C2/m
calculated volume = 18.9 Å³/atom
E_tot = -4.702 eV per atom

Cell: 7.4273 7.4273 6.7702 Å, 90.07 90.07 142.71°
Last column: nearest neighbours and their distance in Å.
Sites, in units of the cell vectors:
1 Pm 0.0000 0.0000 0.0000  8 Pd 2.97-3.01
2 In 0.0000 0.0000 0.5000  8 Pd 2.85-2.92
3 In 0.3332 0.6668 0.0000  8 Pd 2.86-2.97
4 In 0.3369 0.6631 0.5000  8 Pd 2.79-2.88
5 In 0.6631 0.3369 0.5000  8 Pd 2.79-2.88
6 In 0.6668 0.3332 0.0000  8 Pd 2.86-2.97
7 Pd 0.1721 0.8262 0.2605  7 In 2.82-2.97, 1 Pm 3.01
8 Pd 0.1738 0.8279 0.7395  7 In 2.82-2.97, 1 Pm 3.01
9 Pd 0.4995 0.4995 0.7351  6 In 2.79-2.95, 2 Pm 2.97-2.98
10 Pd 0.5005 0.5005 0.2649  6 In 2.79-2.95, 2 Pm 2.97-2.98
11 Pd 0.8262 0.1721 0.2605  7 In 2.82-2.97, 1 Pm 3.01
12 Pd 0.8279 0.1738 0.7395  7 In 2.82-2.97, 1 Pm 3.01

---

[11]
A relaxed Pm4InPd12 crystal, computed with PBE-GGA.

Summary:
formation energy = -0.7849 eV per atom
symmetry = Im-3m
calculated volume = 19.1 Å³/atom
E_tot = -5.729 eV per atom

Cell: 7.4970 7.4970 7.4970 Å, 109.47 109.47 109.47°
Last column: nearest neighbours and their distance in Å.
Sites, in units of the cell vectors:
1 Pm 0.0000 0.0000 0.5000  12 Pd 3.06-3.09
2 Pm 0.0000 0.5000 0.0000  12 Pd 3.06-3.09
3 Pm 0.5000 0.0000 0.0000  12 Pd 3.06-3.09
4 Pm 0.5000 0.5000 0.5000  12 Pd 3.06-3.09
5 In 0.0000 0.0000 0.0000  6 Pd 2.61
6 Pd 0.0000 0.3016 0.3016  1 In 2.61, 4 Pd 2.76
7 Pd 0.0000 0.6984 0.6984  1 In 2.61, 4 Pd 2.76
8 Pd 0.2500 0.5000 0.7500  8 Pd 2.76-3.06, 4 Pm 3.06
9 Pd 0.2500 0.7500 0.5000  8 Pd 2.76-3.06, 4 Pm 3.06
10 Pd 0.3016 0.0000 0.3016  1 In 2.61, 4 Pd 2.76
11 Pd 0.3016 0.3016 0.0000  1 In 2.61, 4 Pd 2.76
12 Pd 0.5000 0.2500 0.7500  8 Pd 2.76-3.06, 4 Pm 3.06
13 Pd 0.5000 0.7500 0.2500  8 Pd 2.76-3.06, 4 Pm 3.06
14 Pd 0.6984 0.0000 0.6984  1 In 2.61, 4 Pd 2.76
15 Pd 0.6984 0.6984 0.0000  1 In 2.61, 4 Pd 2.76
16 Pd 0.7500 0.2500 0.5000  8 Pd 2.76-3.06, 4 Pm 3.06
17 Pd 0.7500 0.5000 0.2500  8 Pd 2.76-3.06, 4 Pm 3.06

---

[12]
A relaxed PmIn4Pd15 crystal, computed with PBE-GGA.

Summary:
formation energy = -0.5000 eV per atom
symmetry = P4/mmm
calculated volume = 16.8 Å³/atom
E_tot = -5.180 eV per atom

Cell: 4.0906 4.0906 20.1388 Å, 90.00 90.00 90.00°
Last column: nearest neighbours and their distance in Å.
Sites, in units of the cell vectors:
1 Pm 0.0000 0.0000 0.0000  12 Pd 2.89-2.97
2 In 0.0000 0.0000 0.2059  12 Pd 2.83-2.89
3 In 0.0000 0.0000 0.4015  12 Pd 2.84-2.89
4 In 0.0000 0.0000 0.5985  12 Pd 2.84-2.89
5 In 0.0000 0.0000 0.7941  12 Pd 2.83-2.89
6 Pd 0.0000 0.5000 0.1067  8 Pd 2.83-2.97, 2 In 2.86, 2 Pm 2.97
7 Pd 0.0000 0.5000 0.3034  4 In 2.83-2.84, 8 Pd 2.85-2.89
8 Pd 0.0000 0.5000 0.5000  8 Pd 2.85-2.89, 4 In 2.85
9 Pd 0.0000 0.5000 0.6966  4 In 2.83-2.84, 8 Pd 2.85-2.89
10 Pd 0.0000 0.5000 0.8933  8 Pd 2.83-2.97, 2 In 2.86, 2 Pm 2.97
11 Pd 0.5000 0.0000 0.1067  8 Pd 2.83-2.97, 2 In 2.86, 2 Pm 2.97
12 Pd 0.5000 0.0000 0.3034  4 In 2.83-2.84, 8 Pd 2.85-2.89
13 Pd 0.5000 0.0000 0.5000  8 Pd 2.85-2.89, 4 In 2.85
14 Pd 0.5000 0.0000 0.6966  4 In 2.83-2.84, 8 Pd 2.85-2.89
15 Pd 0.5000 0.0000 0.8933  8 Pd 2.83-2.97, 2 In 2.86, 2 Pm 2.97
16 Pd 0.5000 0.5000 0.0000  4 Pm 2.89, 8 Pd 2.97
17 Pd 0.5000 0.5000 0.2041  8 Pd 2.83-2.86, 4 In 2.89
18 Pd 0.5000 0.5000 0.4018  8 Pd 2.85, 4 In 2.89
19 Pd 0.5000 0.5000 0.5982  8 Pd 2.85, 4 In 2.89
20 Pd 0.5000 0.5000 0.7959  8 Pd 2.83-2.86, 4 In 2.89

---

The lowest calculated volume belongs to which entry?
InPd7

---

Among the records above, which one has the highest formation energy?
number 7

---

Which of these has the highest formation energy?
number 7

---

Which value of calculated volume does entry 2 give?
19.1 Å³/atom